[1]
The following is a PBE-GGA calculation of a relaxed structure of SmHo3Zr, from the Alexandria database.

```
SmHo3Zr
1.0
6.384 -1.752 0.000
6.384 1.752 0.000
-0.983 0.000 13.397
Sm Ho Zr
2 6 2
Cartesian
1.698 0.000 5.521
10.087 0.000 7.875
0.240 0.000 2.206
2.189 0.000 10.681
5.138 0.000 5.069
6.647 0.000 8.327
9.597 0.000 2.716
11.545 0.000 11.190
4.542 0.000 0.206
7.244 0.000 13.191
```

Output
Space-group type   C2/m, No. 12
Energy relative to the elements   0.055 eV/atom
Fermi-level density of states   18.12 states/eV/cell
Energy   -5.345 eV per atom

=====

[2]
The following is a PBE-GGA calculation of a relaxed structure of SrHgIr, from the Alexandria database.

```
SrHgIr
1.0
6.258 -2.253 0.000
6.258 2.253 0.000
-1.407 0.000 5.701
Sr Hg Ir
2 2 2
Cartesian
1.031 0.000 1.797
10.077 0.000 3.904
4.721 0.000 1.612
6.387 0.000 4.090
1.481 0.000 5.214
9.627 0.000 0.487
```

Output
Space-group type   C2/m, No. 12
Energy relative to the elements   -0.253 eV/atom
Fermi-level density of states   2.94 states/eV/cell
Energy   -3.868 eV per atom

=====

[3]
The following is a PBE-GGA calculation of a relaxed structure of KAg4Se, from the Alexandria database.

```
KAg4Se
1.0
0.000 4.045 4.045
4.045 0.000 4.045
4.045 4.045 0.000
K Ag Se
1 4 1
Cartesian
0.000 0.000 0.000
3.030 3.030 3.030
5.061 5.061 3.030
5.061 3.030 5.061
3.030 5.061 5.061
6.068 6.068 6.068
```

Output
Space-group type   F-43m, No. 216
Fermi-level density of states   3.22 states/eV/cell
Energy   -2.696 eV per atom

=====

[4]
The following is a PBE-GGA calculation of a relaxed structure of CaPrDy2S4, from the Alexandria database.

```
CaPrDy2S4
1.0
6.906 0.000 0.000
0.000 3.959 0.000
-2.262 0.000 6.545
Ca Pr Dy S
1 1 2 4
Cartesian
0.000 0.000 0.000
-1.131 1.980 3.272
2.322 0.000 3.272
3.453 1.980 0.000
1.232 1.980 1.622
0.094 0.000 4.979
4.549 0.000 1.566
3.411 1.980 4.923
```

Output
Space-group type   P2/m, No. 10
Fermi-level density of states   2.73 states/eV/cell
Energy   -6.087 eV per atom

=====

[5]
The following is a PBE-GGA calculation of a relaxed structure of K4LiPu3S8, from the Alexandria database.

```
K4LiPu3S8
1.0
4.065 2.347 7.270
-4.065 2.347 7.270
0.000 -4.694 7.270
K Li Pu S
4 1 3 8
Cartesian
0.000 0.000 0.000
-2.032 -1.173 7.270
-2.032 1.173 14.540
0.000 2.347 7.270
0.000 0.000 10.905
-4.065 0.000 10.905
-2.032 1.173 3.635
2.032 1.173 3.635
-2.102 -1.213 12.320
0.000 0.000 5.097
0.000 -2.427 9.489
-2.102 1.213 9.489
2.102 -1.213 12.320
0.000 2.427 12.320
0.000 0.000 16.712
2.102 1.213 9.489
```

Output
Space-group type   R-3m, No. 166
Fermi-level density of states   22.89 states/eV/cell
Energy   -6.605 eV per atom

=====

[6]
The following is a PBE-GGA calculation of a relaxed structure of RbMg2TlTc, from the Alexandria database.

```
RbMg2TlTc
1.0
5.278 0.000 0.000
0.000 5.278 0.000
0.000 0.000 5.376
Rb Mg Tl Tc
1 2 1 1
Cartesian
0.000 0.000 0.000
0.000 2.639 2.688
2.639 0.000 2.688
2.639 2.639 0.000
2.639 2.639 2.688
```

Output
Space-group type   P4/mmm, No. 123
Energy relative to the elements   0.395 eV/atom
Fermi-level density of states   4.10 states/eV/cell
Energy   -2.982 eV per atom

=====

[7]
The following is a PBE-GGA calculation of a relaxed structure of Tm2BiPd7, from the Alexandria database.

```
Tm2BiPd7
1.0
3.647 -7.343 0.000
3.647 7.343 0.000
0.000 0.000 4.234
Tm Bi Pd
2 1 7
Cartesian
3.647 4.466 0.000
3.647 -4.466 0.000
3.647 0.000 2.117
0.000 0.000 0.000
2.290 1.494 0.000
3.647 2.791 2.117
2.290 -1.494 0.000
5.005 1.494 0.000
3.647 -2.791 2.117
5.005 -1.494 0.000
```

Output
Space-group type   Cmmm, No. 65
Energy relative to the elements   -0.186 eV/atom
Fermi-level density of states   3.42 states/eV/cell
Energy   -5.104 eV per atom

=====

[8]
The following is a PBE-GGA calculation of a relaxed structure of BeAsP2, from the Alexandria database.

```
BeAsP2
1.0
2.728 0.000 0.000
0.000 2.728 0.000
0.000 0.000 8.184
Be As P
1 1 2
Cartesian
0.000 0.000 0.000
1.364 1.364 6.431
0.000 0.000 3.223
1.364 1.364 1.486
```

Output
Space-group type   P4mm, No. 99
Energy above the most stable polymorph in this dataset   529.0 meV per atom
Energy relative to the elements   0.544 eV/atom
Fermi-level density of states   0.51 states/eV/cell
Energy   -4.255 eV per atom

=====

[9]
The following is a PBE-GGA calculation of a relaxed structure of Nd2Zn10Cd, from the Alexandria database.

```
Nd2Zn10Cd
1.0
5.862 0.000 0.000
0.000 6.323 0.000
-5.621 0.000 13.310
Nd Zn Cd
4 20 2
Cartesian
0.600 1.497 1.601
-2.211 1.665 8.256
2.452 4.658 5.053
-0.359 4.826 11.708
-4.607 1.568 11.718
-1.796 1.593 5.063
-3.121 3.545 10.649
-0.310 5.940 3.994
-0.237 3.393 3.847
-3.047 6.092 10.502
-0.872 3.783 6.306
-3.683 5.702 12.961
1.549 4.680 2.030
-1.262 4.804 8.685
1.502 1.519 4.625
-1.308 1.643 11.280
3.924 0.621 0.349
1.113 2.540 7.004
3.288 0.231 2.808
0.477 2.930 9.463
0.551 0.383 9.316
3.362 2.778 2.661
2.036 4.730 8.247
4.847 4.755 1.592
0.120 0.000 6.655
2.931 3.161 0.000
```

Output
Space-group type   P2_1/c, No. 14
Energy relative to the elements   -0.179 eV/atom
Fermi-level density of states   9.35 states/eV/cell
Energy   -1.963 eV per atom

=====

[10]
The following is a PBE-GGA calculation of a relaxed structure of Sc4TlAu3, from the Alexandria database.

```
Sc4TlAu3
1.0
3.451 0.000 0.000
0.000 4.890 0.000
0.000 0.000 9.762
Sc Tl Au
4 1 3
Cartesian
0.000 0.000 0.000
0.000 0.000 4.881
0.000 2.445 2.314
0.000 2.445 7.449
1.726 2.445 4.881
1.726 0.000 2.463
1.726 0.000 7.299
1.726 2.445 0.000
```

Output
Space-group type   Pmmm, No. 47
Energy relative to the elements   -0.657 eV/atom
Fermi-level density of states   6.33 states/eV/cell
Energy   -5.348 eV per atom

=====

[11]
The following is a PBE-GGA calculation of a relaxed structure of CaAlSe4, from the Alexandria database.

```
CaAlSe4
1.0
0.000 4.156 4.156
4.156 0.000 4.156
4.156 4.156 0.000
Ca Al Se
1 1 4
Cartesian
0.000 0.000 0.000
2.078 2.078 2.078
5.192 3.119 3.119
3.119 5.192 3.119
3.119 3.119 5.192
5.192 5.192 5.192
```

Output
Space-group type   F-43m, No. 216
Fermi-level density of states   4.36 states/eV/cell
Energy   -3.307 eV per atom

=====

[12]
The following is a PBE-GGA calculation of a relaxed structure of SrNiBr4, from the Alexandria database.

```
SrNiBr4
1.0
0.000 4.534 4.534
4.534 0.000 4.534
4.534 4.534 0.000
Sr Ni Br
1 1 4
Cartesian
0.000 0.000 0.000
2.267 2.267 2.267
5.665 3.404 3.404
3.404 5.665 3.404
3.404 3.404 5.665
5.665 5.665 5.665
```

Output
Space-group type   F-43m, No. 216
Energy above the most stable polymorph in this dataset   1277.6 meV per atom
Fermi-level density of states   11.50 states/eV/cell
Energy   -2.208 eV per atom

=====

[13]
The following is a PBE-GGA calculation of a relaxed structure of SmLuCuHg, from the Alexandria database.

```
SmLuCuHg
1.0
0.000 3.615 3.615
3.615 0.000 3.615
3.615 3.615 0.000
Sm Lu Cu Hg
1 1 1 1
Cartesian
0.000 0.000 0.000
3.615 3.615 3.615
5.422 5.422 5.422
1.807 1.807 1.807
```

Output
Space-group type   F-43m, No. 216
Energy relative to the elements   -0.315 eV/atom
Fermi-level density of states   3.71 states/eV/cell
Energy   -3.724 eV per atom

=====

[14]
The following is a PBE-GGA calculation of a relaxed structure of U2Be4CuSi3, from the Alexandria database.

```
U2Be4CuSi3
1.0
3.838 0.000 0.000
0.000 3.838 0.000
0.000 0.000 9.492
U Be Cu Si
2 4 1 3
Cartesian
0.000 1.919 2.357
1.919 0.000 7.135
0.000 0.000 0.000
0.000 1.919 5.983
1.919 0.000 3.509
1.919 1.919 0.000
0.000 0.000 4.746
0.000 1.919 8.216
1.919 0.000 1.276
1.919 1.919 4.746
```

Output
Space-group type   P-4m2, No. 115
Fermi-level density of states   13.89 states/eV/cell
Energy   -5.977 eV per atom

=====

[15]
The following is a PBE-GGA calculation of a relaxed structure of NaBi5Rh3, from the Alexandria database.

```
NaBi5Rh3
1.0
5.899 -4.578 0.000
5.899 4.578 0.000
-5.288 0.000 9.040
Na Bi Rh
2 10 6
Cartesian
-0.633 0.000 2.700
7.142 0.000 6.340
1.938 2.563 3.319
2.707 0.000 0.108
5.899 1.891 0.000
4.571 2.563 5.720
1.662 0.000 5.600
4.846 0.000 3.439
1.938 -2.563 3.319
5.899 -1.891 0.000
3.801 0.000 8.932
4.571 -2.563 5.720
0.000 0.000 0.000
-2.644 0.000 4.520
-0.521 0.000 7.357
2.306 0.000 2.689
4.203 0.000 6.350
7.030 0.000 1.682
```

Output
Space-group type   C2/m, No. 12
Energy relative to the elements   -0.021 eV/atom
Fermi-level density of states   10.80 states/eV/cell
Energy   -4.774 eV per atom

=====

[16]
The following is a PBE-GGA calculation of a relaxed structure of CuTc2, from the Alexandria database.

```
CuTc2
1.0
1.952 -5.512 0.000
1.952 5.512 0.000
0.000 0.000 3.863
Cu Tc
2 4
Cartesian
1.952 4.635 2.897
1.952 -4.635 0.966
1.952 2.783 0.966
1.952 0.988 2.897
1.952 -0.988 0.966
1.952 -2.783 2.897
```

Output
Space-group type   Cmcm, No. 63
Energy above the most stable polymorph in this dataset   89.3 meV per atom
Energy relative to the elements   0.178 eV/atom
Fermi-level density of states   5.28 states/eV/cell
Energy   -8.098 eV per atom

=====

[17]
The following is a PBE-GGA calculation of a relaxed structure of Tl4Hg2BiSb, from the Alexandria database.

```
Tl4Hg2BiSb
1.0
-4.048 4.048 3.686
4.048 -4.048 3.686
4.048 4.048 -3.686
Tl Hg Bi Sb
4 2 1 1
Cartesian
2.024 2.024 -1.843
2.024 -2.024 1.843
-2.024 2.024 1.843
2.024 2.024 1.843
4.048 0.000 0.000
0.000 4.048 0.000
0.000 0.000 0.000
0.000 0.000 3.686
```

Output
Space-group type   I4/mmm, No. 139
Fermi-level density of states   1.61 states/eV/cell
Energy   -2.246 eV per atom

=====

[18]
The following is a PBE-GGA calculation of a relaxed structure of Ho2Cd6In5, from the Alexandria database.

```
Ho2Cd6In5
1.0
4.449 2.568 7.144
-4.449 2.568 7.144
0.000 -5.137 7.144
Ho Cd In
2 6 5
Cartesian
0.000 0.000 3.010
0.000 0.000 18.423
-1.441 -2.496 10.716
-2.882 0.000 10.716
1.441 -2.496 10.716
-1.441 2.496 10.716
2.882 0.000 10.716
1.441 2.496 10.716
0.000 0.000 0.000
0.000 0.000 6.025
0.000 0.000 9.082
0.000 0.000 12.351
0.000 0.000 15.408
```

Output
Space-group type   R-3m, No. 166
Energy relative to the elements   0.271 eV/atom
Fermi-level density of states   13.02 states/eV/cell
Energy   -1.908 eV per atom

=====

[19]
The following is a PBE-GGA calculation of a relaxed structure of GaSiF2, from the Alexandria database.

```
GaSiF2
1.0
-2.964 2.964 4.504
2.964 -2.964 4.504
2.964 2.964 -4.504
Ga Si F
2 2 4
Cartesian
0.000 0.000 0.000
0.000 2.964 2.252
2.964 0.000 2.252
0.000 0.000 4.504
0.534 1.482 1.126
-1.482 2.430 3.378
-0.534 4.446 1.126
1.482 3.498 3.378
```

Output
Space-group type   I-42d, No. 122
Energy above the most stable polymorph in this dataset   801.8 meV per atom
Fermi-level density of states   3.47 states/eV/cell
Energy   -3.723 eV per atom

=====

[20]
The following is a PBE-GGA calculation of a relaxed structure of In2AuCl, from the Alexandria database.

```
In2AuCl
1.0
3.439 0.000 0.000
0.000 5.156 0.000
0.000 0.000 5.435
In Au Cl
2 1 1
Cartesian
0.000 0.000 0.000
0.000 2.578 2.717
1.719 0.000 2.717
1.719 2.578 0.000
```

Output
Space-group type   Pmmm, No. 47
Energy above the most stable polymorph in this dataset   97.6 meV per atom
Fermi-level density of states   1.00 states/eV/cell
Energy   -2.990 eV per atom